{
  "formula": "SbTe2WC",
  "functional": "PBE",
  "state": "optimized geometry",
  "dft_energy_ev_per_cell": -23.4,
  "formation_energy_uncorrected_ev_per_atom": 1.846,
  "n_ef_per_ev_cell": 3.96,
  "cell": [[-2.195, -3.671, -3.041], [3.694, 0.806, -3.639], [3.052, -3.711, 2.277]],
  "species": ["Sb", "C", "Te", "Te", "W"],
  "fractional_positions": [[0.000, 0.000, 0.500], [0.500, 0.500, 0.500], [0.000, 0.500, 0.000], [0.500, 0.000, 0.000], [0.000, 0.000, 0.000]]
}

{
  "formula": "SbTe2WC",
  "functional": "PBE",
  "state": "optimized geometry",
  "dft_energy_ev_per_cell": -25.0,
  "formation_energy_uncorrected_ev_per_atom": 1.512,
  "n_ef_per_ev_cell": 2.90,
  "cell": [[4.645, 0.000, 0.000], [0.000, 4.645, 0.000], [0.000, 0.000, 4.614]],
  "species": ["Sb", "C", "Te", "Te", "W"],
  "fractional_positions": [[0.000, 0.000, 0.500], [0.000, 0.000, 0.000], [0.000, 0.500, 0.000], [0.500, 0.000, 0.000], [0.500, 0.500, 0.500]]
}

{
  "formula": "YSbTe2C",
  "functional": "PBE",
  "state": "optimized geometry",
  "dft_energy_ev_per_cell": -24.2,
  "formation_energy_uncorrected_ev_per_atom": 0.369,
  "n_ef_per_ev_cell": 3.38,
  "cell": [[4.866, 0.000, 0.000], [0.000, 4.866, 0.000], [0.000, 0.000, 4.853]],
  "species": ["Y", "Sb", "C", "Te", "Te"],
  "fractional_positions": [[0.500, 0.500, 0.500], [0.000, 0.000, 0.500], [0.000, 0.000, 0.000], [0.000, 0.500, 0.000], [0.500, 0.000, 0.000]]
}